# 1
Entry from OQMD: a relaxed Ta4Sb3W2N3 crystal (PBE-GGA).

```
24
Lattice="5.037 -2.883 0.000 5.037 2.883 0.000 -3.008 0.000 12.950" Properties=species:S:1:pos:R:3 pbc="T T T"
Ta 1.202 2.243 11.922
Ta 1.127 0.375 5.450
Ta 4.359 2.243 7.503
Ta -0.377 -0.375 11.925
Ta 7.442 0.375 1.025
Ta 2.706 -2.243 5.447
Ta 5.938 -0.375 7.500
Ta 5.863 -2.243 1.028
Sb 4.285 2.387 3.238
Sb 1.096 0.485 9.647
Sb 2.600 -0.485 3.172
Sb 4.465 0.485 9.778
Sb 5.969 -0.485 3.303
Sb 2.781 -2.387 9.713
W 4.452 0.408 1.143
W 4.117 0.408 5.332
W 2.948 -0.408 7.619
W 2.613 -0.408 11.807
N 2.518 1.442 0.000
N 2.620 1.497 6.515
N 2.941 1.497 12.910
N 1.014 -1.442 6.475
N 4.125 -1.497 0.040
N 4.445 -1.497 6.435
```

Output
Space-group type: C2/c, No. 15
M_tot in μB/atom: 0.00
Energy in eV/atom: -9.30



# 2
Entry from OQMD: a relaxed Ta2Sb3W4N3 crystal (PBE-GGA).

```
24
Lattice="5.252 -2.745 0.000 5.252 2.745 0.000 -4.632 0.000 13.025" Properties=species:S:1:pos:R:3 pbc="T T T"
Ta -1.052 0.135 5.279
Ta -3.369 -0.135 11.792
Ta 9.240 0.135 1.233
Ta 6.924 -0.135 7.746
Sb -1.582 0.602 9.671
Sb 0.734 -0.602 3.158
Sb 1.777 0.473 9.769
Sb 4.094 -0.473 3.256
Sb 5.137 0.602 9.867
Sb 7.453 -0.602 3.354
W 2.369 0.501 1.149
W 2.000 0.375 5.685
W 0.053 -0.501 7.661
W -0.316 -0.375 12.197
W 6.188 0.375 0.828
W 5.818 0.501 5.364
W 3.871 -0.375 7.340
W 3.502 -0.501 11.876
N 0.310 1.373 6.512
N 0.187 1.605 12.610
N 3.368 1.605 6.927
N 2.626 -1.373 0.000
N 2.503 -1.605 6.098
N 5.684 -1.605 0.414
```

Output
Space-group type: C2/c, No. 15
M_tot in μB/atom: 0.00
Energy in eV/atom: -9.24



# 3
Entry from OQMD: a relaxed Y4Ta2Sb3N3 crystal (PBE-GGA).

```
24
Lattice="5.247 -3.064 0.000 5.247 3.064 0.000 -3.492 0.000 13.883" Properties=species:S:1:pos:R:3 pbc="T T T"
Y 0.884 0.479 1.295
Y 0.840 0.525 5.646
Y -0.862 -0.479 8.236
Y -0.906 -0.525 12.588
Y 7.908 0.525 1.295
Y 7.864 0.479 5.646
Y 6.162 -0.525 8.236
Y 6.118 -0.479 12.588
Ta 4.354 0.524 1.041
Ta 4.394 0.524 5.901
Ta 2.608 -0.524 7.982
Ta 2.648 -0.524 12.842
Sb 4.374 2.319 3.471
Sb 1.053 0.412 10.438
Sb 2.799 -0.412 3.497
Sb 4.203 0.412 10.385
Sb 5.949 -0.412 3.444
Sb 2.628 -2.319 10.412
N 2.624 1.532 0.000
N 2.684 1.434 6.941
N 6.064 1.434 0.000
N 0.877 -1.532 6.941
N 4.430 -1.434 0.000
N 4.318 -1.434 6.941
```

Output
Space-group type: C2/c, No. 15
M_tot in μB/atom: 0.00
Energy in eV/atom: -8.17



# 4
Entry from OQMD: a relaxed Ta4ZnSbN2 crystal (PBE-GGA).

```
8
Lattice="3.208 0.000 0.000 -1.604 2.778 0.000 0.000 0.000 13.317" Properties=species:S:1:pos:R:3 pbc="T T T"
Ta 0.000 0.000 2.115
Ta 0.000 0.000 11.201
Ta 0.000 1.852 4.404
Ta 0.000 1.852 8.913
Zn 0.000 1.852 0.000
Sb 0.000 0.000 6.658
N 1.604 0.926 3.267
N 1.604 0.926 10.050
```

Output
Space-group type: P-6m2, No. 187
M_tot in μB/atom: 0.00
Energy in eV/atom: -9.06



# 5
Entry from OQMD: a relaxed Zr2Ta4Sb3N3 crystal (PBE-GGA).

```
24
Lattice="5.092 -2.946 0.000 5.092 2.946 0.000 -3.397 0.000 13.019" Properties=species:S:1:pos:R:3 pbc="T T T"
Zr 2.538 2.451 7.733
Zr 2.551 2.451 11.796
Zr 4.237 -2.451 1.223
Zr 4.249 -2.451 5.286
Ta 2.562 0.500 1.017
Ta 2.544 0.475 5.490
Ta 0.864 -0.500 7.526
Ta 0.845 -0.475 12.000
Ta 5.942 0.475 1.019
Ta 5.924 0.500 5.493
Ta 4.244 -0.475 7.529
Ta 4.225 -0.500 12.002
Sb -0.739 0.553 9.765
Sb 0.959 -0.553 3.256
Sb 2.545 0.364 9.764
Sb 4.243 -0.364 3.255
Sb 5.828 0.553 9.764
Sb 7.527 -0.553 3.254
N 0.848 1.473 6.510
N 4.253 1.492 0.000
N 4.233 1.492 6.510
N 2.546 -1.473 0.000
N 2.555 -1.492 6.510
N 5.931 -1.492 0.000
```

Output
Space-group type: C2/c, No. 15
M_tot in μB/atom: 0.00
Energy in eV/atom: -9.09



# 6
Entry from OQMD: a relaxed Zr4Ta2Sb3N3 crystal (PBE-GGA).

```
24
Lattice="5.155 -2.978 0.000 5.155 2.978 0.000 -3.428 0.000 13.193" Properties=species:S:1:pos:R:3 pbc="T T T"
Zr 0.861 0.488 1.164
Zr 0.854 0.500 5.430
Zr -0.853 -0.488 7.760
Zr -0.860 -0.500 12.027
Zr 7.742 0.500 1.166
Zr 7.735 0.488 5.433
Zr 6.028 -0.500 7.763
Zr 6.021 -0.488 12.030
Ta 4.289 0.499 1.014
Ta 4.307 0.499 5.583
Ta 2.575 -0.499 7.610
Ta 2.593 -0.499 12.180
Sb 4.298 2.387 3.298
Sb 0.944 0.450 9.901
Sb 2.658 -0.450 3.305
Sb 4.224 0.450 9.888
Sb 5.938 -0.450 3.292
Sb 2.584 -2.387 9.895
N 2.578 1.489 0.000
N 2.595 1.467 6.597
N 6.001 1.467 0.000
N 0.864 -1.489 6.597
N 4.309 -1.467 0.000
N 4.287 -1.467 6.597
```

Output
Space-group type: C2/c, No. 15
M_tot in μB/atom: 0.00
Energy in eV/atom: -8.80



Among the records above, which one has the highest energy?
Y4Ta2Sb3N3



Repeat the fifth record exactly.
Entry from OQMD: a relaxed Zr2Ta4Sb3N3 crystal (PBE-GGA).

```
24
Lattice="5.092 -2.946 0.000 5.092 2.946 0.000 -3.397 0.000 13.019" Properties=species:S:1:pos:R:3 pbc="T T T"
Zr 2.538 2.451 7.733
Zr 2.551 2.451 11.796
Zr 4.237 -2.451 1.223
Zr 4.249 -2.451 5.286
Ta 2.562 0.500 1.017
Ta 2.544 0.475 5.490
Ta 0.864 -0.500 7.526
Ta 0.845 -0.475 12.000
Ta 5.942 0.475 1.019
Ta 5.924 0.500 5.493
Ta 4.244 -0.475 7.529
Ta 4.225 -0.500 12.002
Sb -0.739 0.553 9.765
Sb 0.959 -0.553 3.256
Sb 2.545 0.364 9.764
Sb 4.243 -0.364 3.255
Sb 5.828 0.553 9.764
Sb 7.527 -0.553 3.254
N 0.848 1.473 6.510
N 4.253 1.492 0.000
N 4.233 1.492 6.510
N 2.546 -1.473 0.000
N 2.555 -1.492 6.510
N 5.931 -1.492 0.000
```

Output
Space-group type: C2/c, No. 15
M_tot in μB/atom: 0.00
Energy in eV/atom: -9.09



Which formula does entry 2 have?
Ta2Sb3W4N3



What is the formula in the fifth record?
Zr2Ta4Sb3N3